No. 1
First-principles (GGA-PBE) data for a relaxed FeRh2Au crystal, as listed in the Alexandria database.

- Mass density: 12.604 g cm⁻³
- E_tot: -6.48 eV per atom
- Energy relative to the elements: 0.14 eV/atom

a = 2.9324 Å, b = 4.6005 Å, c = 8.9579 Å
α = 90.00°, β = 90.00°, γ = 90.00°
Space group Cmmm (No. 65)
Unique sites:
Fe (0.0000, 0.0000, 0.0000)
Rh (0.0000, 0.5000, 0.2250)
Au (0.0000, 0.0000, 0.5000)

=====

No. 2
First-principles (GGA-PBE) data for a relaxed FeRh2Au crystal, as listed in the Alexandria database.

- Mass density: 12.743 g cm⁻³
- E_tot: -6.48 eV per atom
- Energy relative to the elements: 0.13 eV/atom

a = 5.5480 Å, b = 7.4783 Å, c = 2.8808 Å
α = 90.00°, β = 90.00°, γ = 90.00°
Space group Cmmm (No. 65)
Unique sites:
Fe (0.0000, 0.0000, 0.0000)
Rh (0.2500, 0.2500, 0.5000)
Au (0.0000, 0.5000, 0.0000)

=====

No. 3
First-principles (GGA-PBE) data for a relaxed FeRuRhAu2 crystal, as listed in the Alexandria database.

- Mass density: 11.413 g cm⁻³
- E_tot: -5.07 eV per atom
- Energy relative to the elements: 1.26 eV/atom

a = 4.7497 Å, b = 4.7497 Å, c = 4.2163 Å
α = 90.00°, β = 90.00°, γ = 90.00°
Space group P4/mmm (No. 123)
Unique sites:
Fe (0.0000, 0.0000, 0.0000)
Ru (0.0000, 0.0000, 0.5000)
Rh (0.5000, 0.5000, 0.5000)
Au (0.0000, 0.5000, 0.0000)

=====

No. 4
First-principles (GGA-PBE) data for a relaxed FeSnRhAu2 crystal, as listed in the Alexandria database.

- Mass density: 8.804 g cm⁻³
- E_tot: -4.33 eV per atom
- Energy relative to the elements: 0.95 eV/atom

a = 5.0978 Å, b = 5.0978 Å, c = 4.8732 Å
α = 90.00°, β = 90.00°, γ = 90.00°
Space group P4/mmm (No. 123)
Unique sites:
Fe (0.0000, 0.0000, 0.0000)
Sn (0.5000, 0.5000, 0.0000)
Rh (0.5000, 0.5000, 0.5000)
Au (0.0000, 0.5000, 0.5000)

=====

No. 5
First-principles (GGA-PBE) data for a relaxed SrFe2RhAu crystal, as listed in the Alexandria database.

- Mass density: 7.333 g cm⁻³
- E_tot: -3.70 eV per atom
- Energy relative to the elements: 2.15 eV/atom

a = 4.6498 Å, b = 4.6498 Å, c = 5.2284 Å
α = 90.00°, β = 90.00°, γ = 90.00°
Space group P4/mmm (No. 123)
Unique sites:
Sr (0.0000, 0.0000, 0.0000)
Fe (0.0000, 0.5000, 0.0000)
Rh (0.5000, 0.5000, 0.5000)
Au (0.0000, 0.0000, 0.5000)

=====

No. 6
First-principles (GGA-PBE) data for a relaxed TiFeRhAu crystal, as listed in the Alexandria database.

- Mass density: 11.199 g cm⁻³
- E_tot: -6.94 eV per atom
- Energy relative to the elements: -0.20 eV/atom

a = 6.2090 Å, b = 6.2090 Å, c = 6.2090 Å
α = 90.00°, β = 90.00°, γ = 90.00°
Space group F-43m (No. 216)
Unique sites:
Ti (0.0000, 0.0000, 0.0000)
Fe (0.2500, 0.2500, 0.2500)
Rh (0.2500, 0.2500, 0.7500)
Au (0.0000, 0.0000, 0.5000)

=====

The lowest E_tot belongs to which entry?
TiFeRhAu